[1]
The following is a PBE calculation of an optimized crystal structure of PmSm2UP4, from the Alexandria database.

Unit cell a=4.051 b=7.042 c=7.038 alpha=109.20 beta=90.00 gamma=90.00
Element x y z (fractional)
P1 0.000 0.759 0.243
P2 0.500 0.761 0.760
P3 0.000 0.241 0.757
P4 0.500 0.239 0.240
U1 0.000 0.000 0.000
Sm1 0.500 0.000 0.500
Sm2 0.000 0.500 0.500
Pm1 0.500 0.500 0.000

Calculated values
The value obtained for the total energy is -7.3049 eV per atom. The total magnetization is 2.078 μB/f.u. Its space-group type is P2/m. The calculation puts the formation energy at -1.415 eV/atom. As for the volume: 23.71 Å³/atom.

=====

[2]
The following is a PBE calculation of an optimized crystal structure of Pm2SmUP4, from the Alexandria database.

Unit cell a=4.057 b=7.048 c=7.052 alpha=109.19 beta=90.00 gamma=90.00
Element x y z (fractional)
P1 0.500 0.257 0.241
P2 0.000 0.739 0.238
P3 0.500 0.743 0.759
P4 0.000 0.261 0.762
U1 0.500 0.500 0.000
Sm1 0.000 0.000 0.000
Pm1 0.000 0.500 0.500
Pm2 0.500 0.000 0.500

Calculated values
The value obtained for the total energy is -7.3085 eV per atom. The total magnetization is 2.065 μB/f.u. Its space-group type is P2/m. The calculation puts the formation energy at -1.415 eV/atom. As for the volume: 23.80 Å³/atom.

=====

[3]
The following is a PBE calculation of an optimized crystal structure of PmSmY2P4, from the Alexandria database.

Unit cell a=4.069 b=7.045 c=7.042 alpha=109.47 beta=90.00 gamma=90.00
Element x y z (fractional)
Y1 0.000 0.500 0.500
Y2 0.500 0.000 0.500
P1 0.500 0.251 0.256
P2 0.000 0.753 0.256
P3 0.000 0.247 0.744
P4 0.500 0.749 0.744
Pm1 0.500 0.500 0.000
Sm1 0.000 0.000 0.000

Calculated values
The value obtained for the total energy is -7.1005 eV per atom. The total magnetization is 0.000 μB/f.u. Its space-group type is P2/m. The calculation puts the formation energy at -1.596 eV/atom. As for the volume: 23.79 Å³/atom.